! Pm8Au2N, optimized geometry, DFT GGA-PBE; values from VASP
! Crystal system: monoclinic
! Symmetry: No. 12
&SYSTEM
  ibrav = 0, nat = 11, ntyp = 3
/
ATOMIC_SPECIES
Pm 145.00 Pm.upf
Au 196.97 Au.upf
N 14.01 N.upf
CELL_PARAMETERS angstrom
8.5731 -2.8303 0.0000
8.5731 2.8303 0.0000
-1.3142 0.0000 6.3331
ATOMIC_POSITIONS angstrom
Pm 0.2747 0.0000 1.6625
Pm 2.4328 0.0000 5.0540
Pm 5.6182 0.0000 3.6358
Pm 7.1121 0.0000 0.7840
Pm 8.7199 0.0000 5.5491
Pm 10.2138 0.0000 2.6973
Pm 13.3992 0.0000 1.2790
Pm 15.5573 0.0000 4.6706
Au 3.2724 0.0000 1.6465
Au 12.5595 0.0000 4.6865
N 7.9160 0.0000 3.1665

! Er4Sb6O19, optimized geometry, DFT GGA-PBE; values from VASP
! Crystal system: triclinic
! Symmetry: No. 1
&SYSTEM
  ibrav = 0, nat = 29, ntyp = 3
/
ATOMIC_SPECIES
Er 167.26 Er.upf
Sb 121.76 Sb.upf
O 16.00 O.upf
CELL_PARAMETERS angstrom
8.0451 0.0000 0.0000
-2.5127 7.6598 0.0000
-2.9575 -3.6604 6.6649
ATOMIC_POSITIONS angstrom
Er 0.0000 0.0000 0.0000
Er -2.7535 -0.6245 4.7707
Er -2.3134 4.8632 4.6181
Er 2.9025 3.7303 2.7271
Sb -1.2587 2.3984 2.6182
Sb -0.0229 5.4071 1.3545
Sb 1.5428 0.3750 3.5039
Sb -0.1850 1.6432 5.8802
Sb 4.3229 0.2686 1.3549
Sb 5.5664 3.2703 0.0881
O -2.9837 3.6460 2.9671
O -1.7197 5.4237 0.3856
O 0.3212 0.7391 2.0309
O -2.0448 0.9523 6.3322
O -1.1730 2.8487 4.6246
O -0.1231 -0.0907 4.6964
O 0.1547 7.2304 0.4219
O 1.4534 -1.6053 3.0511
O 0.5134 3.7980 2.3318
O 1.3352 -2.1203 6.5076
O 2.9710 1.4126 2.4616
O 1.4304 2.0419 4.6860
O 1.6536 6.1351 2.2733
O 3.4882 4.2582 0.6937
O 3.3139 6.9932 0.2414
O 3.0112 -0.1822 4.7459
O 5.5448 0.6265 2.8636
O 4.3337 -1.6310 6.4235
O 3.4989 4.9188 4.6925

| no. | M_tot (μB per formula unit) | formation energy from raw total energies (meV per atom) |
| --- | --- | --- |
| 1 | 0.00 | -330 |
| 2 | 0.00 | -2029 |